1.
A relaxed ZrTiSi2Rh crystal. Source: Alexandria via LeMat-Bulk, functional PBE-GGA.

Cell: 4.6395 4.6379 4.6395 Å, 90.00 90.00 90.00°
Last column: nearest neighbours and their distance in Å.
Sites, in units of the cell vectors:
Rh1 0.5000 0.5000 0.5000  8 Si 3.28, 4 Zr 3.28
Si1 0.5000 0.0000 0.0000  2 Ti 2.32
Si2 0.0000 0.0000 0.5000  2 Ti 2.32
Ti1 0.0000 0.0000 0.0000  2 Zr 2.32, 4 Si 2.32
Zr1 0.0000 0.5000 0.0000  2 Ti 2.32

Properties
As for the space-group type: No. 123. The total magnetic moment comes out at 0.000 μB/f.u. The value obtained for the formation energy without anion corrections is 0.758 eV/atom.

=====

2.
A relaxed TlSi2Rh crystal. Source: Alexandria via LeMat-Bulk, functional PBE-GGA.

Cell: 6.0110 6.0110 6.0110 Å, 152.41 133.10 55.28°
Last column: nearest neighbours and their distance in Å.
Sites, in units of the cell vectors:
Tl1 0.7500 0.2500 0.5000  4 Rh 2.79, 2 Tl 2.87
Rh1 0.2500 0.7500 0.5000  4 Si 2.57, 4 Tl 2.79, 2 Rh 2.87
Si1 0.4505 0.4505 0.0000  2 Rh 2.57, 2 Si 2.87
Si2 0.0495 0.0495 0.0000  2 Rh 2.57, 2 Si 2.87

Properties
As for the space-group type: No. 71. The total magnetic moment comes out at 0.000 μB/f.u. The value obtained for the formation energy without anion corrections is 0.219 eV/atom. The relative energy among the computed polymorphs comes out at 304 meV/atom.

=====

3.
A relaxed TlSiRh3 crystal. Source: Alexandria via LeMat-Bulk, functional PBE-GGA.

Cell: 4.9212 4.9212 4.9212 Å, 90.00 90.00 90.00°
Last column: nearest neighbours and their distance in Å.
Sites, in units of the cell vectors:
Rh1 0.0000 0.0000 0.5000  2 Tl 2.46
Si1 0.5000 0.5000 0.5000  12 Rh 3.48
Tl1 0.0000 0.0000 0.0000  6 Rh 2.46
Rh2 0.0000 0.5000 0.0000  2 Tl 2.46
Rh3 0.5000 0.0000 0.0000  2 Tl 2.46

Properties
As for the space-group type: No. 221. The total magnetic moment comes out at 0.000 μB/f.u. The value obtained for the formation energy without anion corrections is 1.739 eV/atom. The relative energy among the computed polymorphs comes out at 1735 meV/atom.